This record from the Alexandria database describes DyNi2B2O6 after structural relaxation. The functional is GGA+U.

E_tot, eV/atom: -6.80
Size of the total moment, μB/cell: 3.0
D(E_F), states/eV/cell: 6.3

Cell lengths 5.072, 5.072, 5.941 Å; angles 90.00, 90.00, 120.00 degrees
Element x y z (fractional)
Dy (0.000, 0.000, 0.000)
Ni (0.333, 0.667, 0.325)
Ni (0.667, 0.333, 0.675)
B (0.333, 0.667, 0.767)
B (0.667, 0.333, 0.233)
O (0.324, 0.389, 0.769)
O (0.065, 0.676, 0.769)
O (0.611, 0.935, 0.769)
O (0.676, 0.611, 0.231)
O (0.935, 0.324, 0.231)
O (0.389, 0.065, 0.231)